[1]
# Y2Mg2Cu, relaxed, DFT GGA-PBEsol
# Excess energy over the best structure of this formula in the dataset (eV per atom): 0.0165
data_Y2Mg2Cu
_chemical_formula_sum 'Y8 Mg8 Cu4'
_cell_length_a 11.187
_cell_length_b 6.410
_cell_length_c 6.861
_cell_angle_alpha 90.00
_cell_angle_beta 108.89
_cell_angle_gamma 90.00
_space_group_name_H-M_alt 'C 1 2/c 1'
_space_group_IT_number 15
loop_
_space_group_symop_operation_xyz
'x,y,z'
'-x,-y,-z'
'-x,y,-z+1/2'
'x,-y,z+1/2'
'x+1/2,y+1/2,z'
'-x+1/2,-y+1/2,-z'
'-x+1/2,y+1/2,-z+1/2'
'x+1/2,-y+1/2,z+1/2'
loop_
_atom_site_label
_atom_site_type_symbol
_atom_site_fract_x
_atom_site_fract_y
_atom_site_fract_z
Y1 Y 0.156 0.086 0.125
Mg1 Mg 0.104 0.395 0.465
Cu1 Cu 0.000 0.249 0.750


[2]
# Y3Mg7Cu2

A geometry-optimized Y3Mg7Cu2 structure (GGA-PBEsol, Alexandria).

The structure in CIF format:
```
data_Y3Mg7Cu2
_chemical_formula_sum 'Y9 Mg21 Cu6'
_cell_length_a 5.8459
_cell_length_b 5.8459
_cell_length_c 27.1584
_cell_angle_alpha 90.00
_cell_angle_beta 90.00
_cell_angle_gamma 120.00
_space_group_name_H-M_alt 'R -3 m'
_space_group_IT_number 166
_space_group_name_Hall '-R 3 2"'
loop_
_atom_site_label
_atom_site_type_symbol
_atom_site_fract_x
_atom_site_fract_y
_atom_site_fract_z
Y1 Y 0.0000 0.0000 0.0000
Y2 Y 0.0000 0.0000 0.1426
Mg1 Mg 0.0000 0.0000 0.5000
Mg2 Mg 0.0034 0.5017 0.9247
Cu1 Cu 0.0000 0.0000 0.3340
```


[3]
# YMg4Cu2

A geometry-optimized YMg4Cu2 structure (GGA-PBEsol, Alexandria).

The structure in CIF format:
```
data_YMg4Cu2
_chemical_formula_sum 'Y3 Mg12 Cu6'
_cell_length_a 4.7730
_cell_length_b 4.7730
_cell_length_c 20.3667
_cell_angle_alpha 90.00
_cell_angle_beta 90.00
_cell_angle_gamma 120.00
_space_group_name_H-M_alt 'R -3 m'
_space_group_IT_number 166
_space_group_name_Hall '-R 3 2"'
loop_
_atom_site_label
_atom_site_type_symbol
_atom_site_fract_x
_atom_site_fract_y
_atom_site_fract_z
Y1 Y 0.0000 0.0000 0.0000
Mg1 Mg 0.0000 0.0000 0.1575
Mg2 Mg 0.0000 0.0000 0.4193
Cu1 Cu 0.0000 0.0000 0.2856
```


[4]
# Y2MgCu3

A geometry-optimized Y2MgCu3 structure (GGA-PBEsol, Alexandria).

The structure in CIF format:
```
data_Y2MgCu3
_chemical_formula_sum 'Y4 Mg2 Cu6'
_cell_length_a 4.6828
_cell_length_b 4.6828
_cell_length_c 11.8333
_cell_angle_alpha 90.00
_cell_angle_beta 90.00
_cell_angle_gamma 120.00
_space_group_name_H-M_alt 'P 63/m m c'
_space_group_IT_number 194
_space_group_name_Hall '-P 6c 2c'
loop_
_atom_site_label
_atom_site_type_symbol
_atom_site_fract_x
_atom_site_fract_y
_atom_site_fract_z
Y1 Y 0.3333 0.6667 0.0925
Mg1 Mg 0.0000 0.0000 0.2500
Cu1 Cu 0.0000 0.0000 0.0000
Cu2 Cu 0.3333 0.6667 0.6508
```


[5]
# Y2MgCu2, relaxed, DFT GGA-PBEsol
# Excess energy over the best structure of this formula in the dataset (eV per atom): 0.0393
data_Y2MgCu2
_chemical_formula_sum 'Y4 Mg2 Cu4'
_cell_length_a 4.403
_cell_length_b 5.826
_cell_length_c 8.002
_cell_angle_alpha 90.00
_cell_angle_beta 90.00
_cell_angle_gamma 90.00
_space_group_name_H-M_alt 'I m m m'
_space_group_IT_number 71
_space_group_name_Hall '-I 2 2'
loop_
_atom_site_label
_atom_site_type_symbol
_atom_site_fract_x
_atom_site_fract_y
_atom_site_fract_z
Y1 Y 0.000 0.000 0.209
Mg1 Mg 0.000 0.500 0.000
Cu1 Cu 0.000 0.293 0.500


[6]
# Y2MgCu2, relaxed, DFT GGA-PBEsol
# Excess energy over the best structure of this formula in the dataset (eV per atom): 0.0949
data_Y2MgCu2
_chemical_formula_sum 'Y4 Mg2 Cu4'
_cell_length_a 8.061
_cell_length_b 5.083
_cell_length_c 5.620
_cell_angle_alpha 90.00
_cell_angle_beta 117.17
_cell_angle_gamma 90.00
_space_group_name_H-M_alt 'C 1 2/m 1'
_space_group_IT_number 12
loop_
_space_group_symop_operation_xyz
'x,y,z'
'-x,-y,-z'
'-x,y,-z'
'x,-y,z'
'x+1/2,y+1/2,z'
'-x+1/2,-y+1/2,-z'
'-x+1/2,y+1/2,-z'
'x+1/2,-y+1/2,z'
loop_
_atom_site_label
_atom_site_type_symbol
_atom_site_fract_x
_atom_site_fract_y
_atom_site_fract_z
Y1 Y 0.246 0.000 0.198
Mg1 Mg 0.000 0.000 0.500
Cu1 Cu 0.109 0.500 0.234


[7]
# Mg2ZnCu3

A geometry-optimized Mg2ZnCu3 structure (GGA-PBEsol, Alexandria).

The structure in CIF format:
```
data_Mg2ZnCu3
_chemical_formula_sum 'Mg4 Zn2 Cu6'
_cell_length_a 4.9785
_cell_length_b 4.9785
_cell_length_c 7.8971
_cell_angle_alpha 90.00
_cell_angle_beta 90.00
_cell_angle_gamma 120.00
_space_group_name_H-M_alt 'P 63/m m c'
_space_group_IT_number 194
_space_group_name_Hall '-P 6c 2c'
loop_
_atom_site_label
_atom_site_type_symbol
_atom_site_fract_x
_atom_site_fract_y
_atom_site_fract_z
Mg1 Mg 0.3333 0.6667 0.0638
Zn1 Zn 0.0000 0.0000 0.0000
Cu1 Cu 0.1707 0.3413 0.7500
```


[8]
# MgZn2Cu2, relaxed, DFT GGA-PBEsol
# Excess energy over the best structure of this formula in the dataset (eV per atom): 0.0802
data_MgZn2Cu2
_chemical_formula_sum 'Mg4 Zn8 Cu8'
_cell_length_a 4.963
_cell_length_b 7.611
_cell_length_c 8.053
_cell_angle_alpha 90.00
_cell_angle_beta 90.00
_cell_angle_gamma 90.00
_space_group_name_H-M_alt 'F m m m'
_space_group_IT_number 69
_space_group_name_Hall '-F 2 2'
loop_
_atom_site_label
_atom_site_type_symbol
_atom_site_fract_x
_atom_site_fract_y
_atom_site_fract_z
Mg1 Mg 0.000 0.000 0.000
Zn1 Zn 0.250 0.250 0.250
Cu1 Cu 0.000 0.158 0.500


no.,density of states at the Fermi level (states/eV/f.u.),energy of formation from the pure elements (eV/atom)
1,4.51,-0.08
2,10.85,-0.05
3,1.92,-0.08
4,3.49,-0.16
5,3.67,-0.19
6,4.06,-0.14
7,2.56,-0.17
8,1.52,-0.01